(1)
Material: Ba3ReSb2O9
Method: DFT, PBE
State: relaxed

Calculated values
Its theoretical density is 6936 kg/m3. The total DFT energy (no corrections) comes out at -6.73 eV per atom. As for the magnetization: 1.02 μB/f.u.

abc: 6.131 6.131 14.500
angles: 90.00 90.00 120.00
Fractional positions:
Ba: 0.000 0.000 0.250
Ba: 0.000 0.000 0.750
Ba: 0.333 0.667 0.078
Ba: 0.333 0.667 0.578
Ba: 0.667 0.333 0.422
Ba: 0.667 0.333 0.922
Re: 0.000 0.000 0.000
Re: 0.000 0.000 0.500
Sb: 0.333 0.667 0.330
Sb: 0.333 0.667 0.830
Sb: 0.667 0.333 0.170
Sb: 0.667 0.333 0.670
O: 0.000 0.461 0.250
O: 0.000 0.539 0.750
O: 0.079 0.289 0.922
O: 0.079 0.790 0.422
O: 0.210 0.289 0.422
O: 0.210 0.921 0.922
O: 0.289 0.079 0.578
O: 0.289 0.210 0.078
O: 0.461 0.000 0.250
O: 0.461 0.461 0.750
O: 0.539 0.000 0.750
O: 0.539 0.539 0.250
O: 0.711 0.790 0.922
O: 0.711 0.921 0.422
O: 0.790 0.079 0.078
O: 0.790 0.711 0.578
O: 0.921 0.210 0.578
O: 0.921 0.711 0.078

***

(2)
Material: Ba2ScReO6
Method: DFT, PBE
State: relaxed

Calculated values
Its theoretical density is 7295 kg/m3. The total DFT energy (no corrections) comes out at -7.86 eV per atom. As for the magnetization: 1.87 μB/f.u.

abc: 5.786 5.786 5.786
angles: 60.00 60.00 60.00
Fractional positions:
Ba: 0.250 0.250 0.250
Ba: 0.750 0.750 0.750
Sc: 0.000 0.000 0.000
Re: 0.500 0.500 0.500
O: 0.258 0.258 0.742
O: 0.258 0.742 0.258
O: 0.258 0.742 0.742
O: 0.742 0.258 0.258
O: 0.742 0.258 0.742
O: 0.742 0.742 0.258

***

(3)
Material: Ba2SmReO6
Method: DFT, PBE
State: relaxed

Calculated values
Its theoretical density is 7701 kg/m3. The total DFT energy (no corrections) comes out at -7.63 eV per atom. As for the magnetization: 1.99 μB/f.u.

abc: 5.997 5.997 5.997
angles: 60.00 60.00 60.00
Fractional positions:
Ba: 0.250 0.250 0.250
Ba: 0.750 0.750 0.750
Sm: 0.000 0.000 0.000
Re: 0.500 0.500 0.500
O: 0.268 0.268 0.732
O: 0.268 0.732 0.268
O: 0.268 0.732 0.732
O: 0.732 0.268 0.268
O: 0.732 0.268 0.732
O: 0.732 0.732 0.268

***

(4)
Material: Ba2SrReO6
Method: DFT, PBE
State: relaxed

Calculated values
Its theoretical density is 6764 kg/m3. The total DFT energy (no corrections) comes out at -7.18 eV per atom. As for the magnetization: 0.99 μB/f.u.

abc: 6.016 6.016 6.016
angles: 61.24 61.24 61.24
Fractional positions:
Ba: 0.247 0.247 0.247
Ba: 0.753 0.753 0.753
Sr: 0.500 0.500 0.500
Re: 0.000 0.000 0.000
O: 0.163 0.785 0.281
O: 0.215 0.719 0.837
O: 0.281 0.163 0.785
O: 0.719 0.837 0.215
O: 0.785 0.281 0.163
O: 0.837 0.215 0.719

***

(5)
Material: Ba2TbReO6
Method: DFT, PBE
State: relaxed

Calculated values
Its theoretical density is 8021 kg/m3. The total DFT energy (no corrections) comes out at -7.67 eV per atom. As for the magnetization: 2.00 μB/f.u.

abc: 5.940 5.940 5.940
angles: 60.00 60.00 60.00
Fractional positions:
Ba: 0.250 0.250 0.250
Ba: 0.750 0.750 0.750
Tb: 0.000 0.000 0.000
Re: 0.500 0.500 0.500
O: 0.266 0.266 0.734
O: 0.266 0.734 0.266
O: 0.266 0.734 0.734
O: 0.734 0.266 0.266
O: 0.734 0.266 0.734
O: 0.734 0.734 0.266

***

(6)
Material: Ba2TmReO6
Method: DFT, PBE
State: relaxed

Calculated values
Its theoretical density is 8363 kg/m3. The total DFT energy (no corrections) comes out at -7.69 eV per atom. As for the magnetization: 2.00 μB/f.u.

abc: 5.885 5.885 5.885
angles: 60.00 60.00 60.00
Fractional positions:
Ba: 0.250 0.250 0.250
Ba: 0.750 0.750 0.750
Tm: 0.000 0.000 0.000
Re: 0.500 0.500 0.500
O: 0.263 0.263 0.737
O: 0.263 0.737 0.263
O: 0.263 0.737 0.737
O: 0.737 0.263 0.263
O: 0.737 0.263 0.737
O: 0.737 0.737 0.263

***

(7)
Material: Ba2Tm2SeSO2
Method: DFT, PBE
State: relaxed

Calculated values
Its theoretical density is 6056 kg/m3. The total DFT energy (no corrections) comes out at -5.99 eV per atom. As for the magnetization: 1.95 μB/f.u.

abc: 4.222 4.222 13.421
angles: 90.00 90.00 120.00
Fractional positions:
Ba: 0.000 0.000 0.000
Ba: 0.333 0.667 0.485
Tm: 0.667 0.333 0.229
Tm: 0.667 0.333 0.716
Se: 0.333 0.667 0.826
S: 0.000 0.000 0.320
O: 0.667 0.333 0.078
O: 0.667 0.333 0.565

***

(8)
Material: Ba2ZnSO6
Method: DFT, PBE
State: relaxed

Calculated values
Its theoretical density is 6440 kg/m3. The total DFT energy (no corrections) comes out at -5.56 eV per atom.

abc: 5.547 5.547 5.547
angles: 60.00 60.00 60.00
Fractional positions:
Ba: 0.250 0.250 0.250
Ba: 0.750 0.750 0.750
Zn: 0.000 0.000 0.000
S: 0.500 0.500 0.500
O: 0.280 0.280 0.720
O: 0.280 0.720 0.280
O: 0.280 0.720 0.720
O: 0.720 0.280 0.280
O: 0.720 0.280 0.720
O: 0.720 0.720 0.280